Computed, not measured: an optimized crystal structure of CoTeBr2 at the GGA-PBEsol level of DFT.

a b c (Å): 3.122 3.122 10.242
angles (deg): 90.00 90.00 90.00
Fractional coordinates of all 4 atoms:
Co 0.000 0.000 0.000
Te 0.000 0.000 0.500
Br 0.500 0.500 0.153
Br 0.500 0.500 0.847

V	24.95	Å³ per atom
N(E_F)	0.87	states/eV/atom
space-group type	P4/mmm (123)
energy relative to the elements, uncorrected	0.224	eV/atom